{"formula": "Ce2FeAs2O", "functional": "GGA+U", "state": "optimized geometry", "lattice": [[3.0801, 0.0000, 0.0000], [0.0000, 3.0801, 0.0000], [0.0000, 0.0000, 14.9065]], "species": ["Ce", "Ce", "Fe", "As", "As", "O"], "fractional_positions": [[0.0000, 0.0000, 0.1389], [0.0000, 0.0000, 0.8611], [0.0000, 0.0000, 0.5000], [0.0000, 0.0000, 0.3347], [0.0000, 0.0000, 0.6653], [0.0000, 0.0000, 0.0000]], "e_tot_ev_per_atom": -5.572, "magnetic_moment_mub_per_atom": 0.459, "vol_a3_per_fu": 141}